No. 1
Computed, not measured: a relaxed La5PmNdSm2 crystal at the PBE level of DFT.

a = 10.2412 Å, b = 10.2412 Å, c = 10.2412 Å
α = 128.07°, β = 128.07°, γ = 76.51°
Closest atoms and distances in Å follow each position.
Atoms (fractional coordinates):
La1 0.0000 0.0000 0.0000  4 Sm 3.58, 8 La 3.93
La2 0.0607 0.5607 0.8980  1 Nd 3.10, 1 Sm 3.21
La3 0.1627 0.0607 0.5000  1 Nd 3.10, 1 Sm 3.21
La4 0.3373 0.8373 0.8980  1 Nd 3.10, 1 Sm 3.21
La5 0.4393 0.3373 0.5000  1 Nd 3.10, 1 Sm 3.21
La6 0.5000 0.5000 0.0000  4 Sm 3.58, 8 La 3.93
La7 0.5607 0.6627 0.5000  1 Nd 3.10, 1 Sm 3.21
La8 0.6627 0.1627 0.1020  1 Nd 3.10, 1 Sm 3.21
La9 0.8373 0.9393 0.5000  1 Nd 3.10, 1 Sm 3.21
La10 0.9393 0.4393 0.1020  1 Nd 3.10, 1 Sm 3.21
Pm1 0.2500 0.2500 0.0000  10 La 3.70-4.02
Pm2 0.7500 0.7500 0.0000  10 La 3.70-4.02
Nd1 0.2500 0.7500 0.5000  4 La 3.10
Nd2 0.7500 0.2500 0.5000  4 La 3.10
Sm1 0.1186 0.3814 0.5000  1 Sm 3.01, 2 La 3.21
Sm2 0.3814 0.8814 0.2628  1 Sm 3.01, 2 La 3.21
Sm3 0.6186 0.1186 0.7372  1 Sm 3.01, 2 La 3.21
Sm4 0.8814 0.6186 0.5000  1 Sm 3.01, 2 La 3.21

Total magnetic moment   0.00 μB/f.u.
Formation energy   0.244 eV/atom
Total DFT energy (no corrections)   -4.600 eV/atom
Theoretical density   6.60 g/cm3



No. 2
Computed, not measured: a relaxed LaPmNd2Sm2 crystal at the PBE level of DFT.

a = 6.7544 Å, b = 18.2561 Å, c = 3.4579 Å
α = 90.00°, β = 90.00°, γ = 90.00°
Closest atoms and distances in Å follow each position.
Atoms (fractional coordinates):
La1 0.0000 0.0000 0.0000  2 Sm 3.32, 2 La 3.46, 2 Nd 3.68
La2 0.5000 0.5000 0.5000  2 Sm 3.32, 2 La 3.46, 2 Nd 3.68
Pm1 0.0000 0.5000 0.0000  2 Pm 3.46, 4 Sm 3.55, 4 La 3.79
Pm2 0.5000 0.0000 0.5000  2 Pm 3.46, 4 Sm 3.55, 4 La 3.79
Nd1 0.2243 0.1840 0.0000  4 Sm 3.40-3.50, 2 Nd 3.46, 1 La 3.68
Nd2 0.2757 0.6840 0.5000  4 Sm 3.40-3.50, 2 Nd 3.46, 1 La 3.68
Nd3 0.7243 0.3160 0.5000  4 Sm 3.40-3.50, 2 Nd 3.46, 1 La 3.68
Nd4 0.7757 0.8160 0.0000  4 Sm 3.40-3.50, 2 Nd 3.46, 1 La 3.68
Sm1 0.2196 0.3505 0.5000  1 La 3.32, 4 Nd 3.40-3.50, 2 Sm 3.46, 2 Pm 3.55
Sm2 0.2804 0.8505 0.0000  1 La 3.32, 4 Nd 3.40-3.50, 2 Sm 3.46, 2 Pm 3.55
Sm3 0.7196 0.1495 0.0000  1 La 3.32, 4 Nd 3.40-3.50, 2 Sm 3.46, 2 Pm 3.55
Sm4 0.7804 0.6495 0.5000  1 La 3.32, 4 Nd 3.40-3.50, 2 Sm 3.46, 2 Pm 3.55

Total magnetic moment   0.00 μB/f.u.
Formation energy   0.240 eV/atom
Total DFT energy (no corrections)   -4.535 eV/atom
Theoretical density   6.80 g/cm3



No. 3
Computed, not measured: a relaxed La2PmNd3Sm6 crystal at the PBE level of DFT.

a = 6.3603 Å, b = 6.3603 Å, c = 12.1186 Å
α = 95.04°, β = 95.04°, γ = 120.02°
Closest atoms and distances in Å follow each position.
Atoms (fractional coordinates):
La1 0.1666 0.8334 0.0000  6 Sm 3.67, 3 Pm 3.67, 3 La 3.67
La2 0.8334 0.1666 0.0000  6 Sm 3.67, 3 Pm 3.67, 3 La 3.67
Pm1 0.5000 0.5000 0.0000  6 Sm 3.67, 6 La 3.67
Nd1 0.0000 0.0000 0.5000  6 Sm 3.65, 6 Nd 3.67
Nd2 0.3335 0.6665 0.5000  6 Sm 3.64-3.65, 6 Nd 3.67
Nd3 0.6665 0.3335 0.5000  6 Sm 3.64-3.65, 6 Nd 3.67
Sm1 0.0836 0.4162 0.7488  3 Nd 3.65, 6 Sm 3.66-3.68, 1 Pm 3.67, 2 La 3.67
Sm2 0.2511 0.2511 0.2512  3 Nd 3.64-3.65, 6 Sm 3.66-3.68, 1 Pm 3.67, 2 La 3.67
Sm3 0.4162 0.0836 0.7488  3 Nd 3.65, 6 Sm 3.66-3.68, 1 Pm 3.67, 2 La 3.67
Sm4 0.5838 0.9164 0.2512  3 Nd 3.65, 6 Sm 3.66-3.68, 1 Pm 3.67, 2 La 3.67
Sm5 0.7489 0.7489 0.7488  3 Nd 3.64-3.65, 6 Sm 3.66-3.68, 1 Pm 3.67, 2 La 3.67
Sm6 0.9164 0.5838 0.2512  3 Nd 3.65, 6 Sm 3.66-3.68, 1 Pm 3.67, 2 La 3.67

Total magnetic moment   0.00 μB/f.u.
Formation energy   0.014 eV/atom
Total DFT energy (no corrections)   -4.755 eV/atom
Theoretical density   6.98 g/cm3



No. 4
Computed, not measured: a relaxed La2Pm2NdSm crystal at the PBE level of DFT.

a = 6.7918 Å, b = 18.2885 Å, c = 3.4834 Å
α = 90.00°, β = 90.00°, γ = 90.00°
Closest atoms and distances in Å follow each position.
Atoms (fractional coordinates):
La1 0.2293 0.1843 0.0000  4 Pm 3.43-3.54, 2 La 3.48, 1 Sm 3.71
La2 0.2707 0.6843 0.5000  4 Pm 3.43-3.54, 2 La 3.48, 1 Sm 3.71
La3 0.7293 0.3157 0.5000  4 Pm 3.43-3.54, 2 La 3.48, 1 Sm 3.71
La4 0.7707 0.8157 0.0000  4 Pm 3.43-3.54, 2 La 3.48, 1 Sm 3.71
Pm1 0.2248 0.3526 0.5000  1 Sm 3.28, 4 La 3.43-3.54, 2 Pm 3.48, 2 Nd 3.55
Pm2 0.2752 0.8526 0.0000  1 Sm 3.28, 4 La 3.43-3.54, 2 Pm 3.48, 2 Nd 3.55
Pm3 0.7248 0.1474 0.0000  1 Sm 3.28, 4 La 3.43-3.54, 2 Pm 3.48, 2 Nd 3.55
Pm4 0.7752 0.6474 0.5000  1 Sm 3.28, 4 La 3.43-3.54, 2 Pm 3.48, 2 Nd 3.55
Nd1 0.0000 0.5000 0.0000  2 Nd 3.48, 4 Pm 3.55, 4 Sm 3.82
Nd2 0.5000 0.0000 0.5000  2 Nd 3.48, 4 Pm 3.55, 4 Sm 3.82
Sm1 0.0000 0.0000 0.0000  2 Pm 3.28, 2 Sm 3.48
Sm2 0.5000 0.5000 0.5000  2 Pm 3.28, 2 Sm 3.48

Total magnetic moment   0.00 μB/f.u.
Formation energy   0.229 eV/atom
Total DFT energy (no corrections)   -4.578 eV/atom
Theoretical density   6.62 g/cm3



No. 5
Computed, not measured: a relaxed La4Pm2NdSm2 crystal at the PBE level of DFT.

a = 8.2454 Å, b = 8.2454 Å, c = 8.2264 Å
α = 107.41°, β = 107.41°, γ = 37.05°
Closest atoms and distances in Å follow each position.
Atoms (fractional coordinates):
La1 0.0548 0.0548 0.3318  2 Sm 3.68, 2 Nd 3.68, 4 La 3.69-3.71, 4 Pm 3.69-3.71
La2 0.2769 0.2769 0.6678  3 Sm 3.65-3.69, 3 Pm 3.68-3.71, 1 Nd 3.69, 5 La 3.69-3.71
La3 0.7231 0.7231 0.3322  3 Sm 3.65-3.69, 3 Pm 3.68-3.71, 1 Nd 3.69, 5 La 3.69-3.71
La4 0.9452 0.9452 0.6682  2 Sm 3.68, 2 Nd 3.68, 4 La 3.69-3.71, 4 Pm 3.69-3.71
Pm1 0.3882 0.3882 0.3309  3 Sm 3.66-3.68, 1 Nd 3.67, 7 La 3.68-3.71, 1 Pm 3.72
Pm2 0.6118 0.6118 0.6691  3 Sm 3.66-3.68, 1 Nd 3.67, 7 La 3.68-3.71, 1 Pm 3.72
Nd1 0.5000 0.5000 0.0000  2 Pm 3.67, 6 La 3.68-3.69, 4 Sm 3.70
Sm1 0.1672 0.1672 0.9998  5 La 3.65-3.69, 3 Pm 3.66-3.68, 2 Sm 3.68, 2 Nd 3.70
Sm2 0.8328 0.8328 0.0002  5 La 3.65-3.69, 3 Pm 3.66-3.68, 2 Sm 3.68, 2 Nd 3.70

Total magnetic moment   0.00 μB/f.u.
Formation energy   0.017 eV/atom
Total DFT energy (no corrections)   -4.807 eV/atom
Theoretical density   6.70 g/cm3



No. 6
Computed, not measured: a relaxed La2PmNdSm2 crystal at the PBE level of DFT.

a = 6.7536 Å, b = 18.3794 Å, c = 3.4818 Å
α = 90.00°, β = 90.00°, γ = 90.00°
Closest atoms and distances in Å follow each position.
Atoms (fractional coordinates):
La1 0.2253 0.1859 0.0000  4 Sm 3.43-3.54, 2 La 3.48, 1 Pm 3.74
La2 0.2747 0.6859 0.5000  4 Sm 3.43-3.54, 2 La 3.48, 1 Pm 3.74
La3 0.7253 0.3141 0.5000  4 Sm 3.43-3.54, 2 La 3.48, 1 Pm 3.74
La4 0.7747 0.8141 0.0000  4 Sm 3.43-3.54, 2 La 3.48, 1 Pm 3.74
Pm1 0.0000 0.0000 0.0000  2 Sm 3.28, 2 Pm 3.48
Pm2 0.5000 0.5000 0.5000  2 Sm 3.28, 2 Pm 3.48
Nd1 0.0000 0.5000 0.0000  2 Nd 3.48, 4 Sm 3.54, 4 Pm 3.80
Nd2 0.5000 0.0000 0.5000  2 Nd 3.48, 4 Sm 3.54, 4 Pm 3.80
Sm1 0.2219 0.3536 0.5000  1 Pm 3.28, 4 La 3.43-3.54, 2 Sm 3.48, 2 Nd 3.54
Sm2 0.2781 0.8536 0.0000  1 Pm 3.28, 4 La 3.43-3.54, 2 Sm 3.48, 2 Nd 3.54
Sm3 0.7219 0.1464 0.0000  1 Pm 3.28, 4 La 3.43-3.54, 2 Sm 3.48, 2 Nd 3.54
Sm4 0.7781 0.6464 0.5000  1 Pm 3.28, 4 La 3.43-3.54, 2 Sm 3.48, 2 Nd 3.54

Total magnetic moment   0.00 μB/f.u.
Formation energy   0.231 eV/atom
Total DFT energy (no corrections)   -4.571 eV/atom
Theoretical density   6.67 g/cm3



No. 7
Computed, not measured: a relaxed LaPmNdSn crystal at the PBE level of DFT.

a = 4.9170 Å, b = 4.9170 Å, c = 10.2201 Å
α = 90.00°, β = 90.00°, γ = 90.00°
Closest atoms and distances in Å follow each position.
Atoms (fractional coordinates):
La1 0.0000 0.0000 0.0000  4 Sn 3.48, 4 Nd 3.55, 4 Pm 3.55
La2 0.5000 0.5000 0.5000  4 Sn 3.48, 4 Nd 3.55, 4 Pm 3.55
Pm1 0.0000 0.5000 0.7500  4 Nd 3.48, 4 La 3.55, 4 Sn 3.55
Pm2 0.5000 0.0000 0.2500  4 Nd 3.48, 4 La 3.55, 4 Sn 3.55
Nd1 0.0000 0.5000 0.2500  4 Pm 3.48, 4 La 3.55, 4 Sn 3.55
Nd2 0.5000 0.0000 0.7500  4 Pm 3.48, 4 La 3.55, 4 Sn 3.55
Sn1 0.0000 0.0000 0.5000  4 La 3.48, 4 Nd 3.55, 4 Pm 3.55
Sn2 0.5000 0.5000 0.0000  4 La 3.48, 4 Nd 3.55, 4 Pm 3.55

Total magnetic moment   0.00 μB/f.u.
Formation energy   -0.416 eV/atom
Total DFT energy (no corrections)   -5.028 eV/atom
Theoretical density   7.35 g/cm3



No. 8
Computed, not measured: a relaxed LaPmNdSn crystal at the PBE level of DFT.

a = 7.9300 Å, b = 7.9300 Å, c = 7.9300 Å
α = 90.00°, β = 90.00°, γ = 90.00°
Closest atoms and distances in Å follow each position.
Atoms (fractional coordinates):
La1 0.0000 0.0000 0.0000  4 Sn 3.43, 4 Nd 3.43
La2 0.0000 0.5000 0.5000  4 Sn 3.43, 4 Nd 3.43
La3 0.5000 0.0000 0.5000  4 Sn 3.43, 4 Nd 3.43
La4 0.5000 0.5000 0.0000  4 Sn 3.43, 4 Nd 3.43
Pm1 0.0000 0.0000 0.5000  4 Sn 3.43, 4 Nd 3.43
Pm2 0.0000 0.5000 0.0000  4 Sn 3.43, 4 Nd 3.43
Pm3 0.5000 0.0000 0.0000  4 Sn 3.43, 4 Nd 3.43
Pm4 0.5000 0.5000 0.5000  4 Sn 3.43, 4 Nd 3.43
Nd1 0.2500 0.2500 0.7500  4 La 3.43, 4 Pm 3.43
Nd2 0.2500 0.7500 0.2500  4 La 3.43, 4 Pm 3.43
Nd3 0.7500 0.2500 0.2500  4 La 3.43, 4 Pm 3.43
Nd4 0.7500 0.7500 0.7500  4 La 3.43, 4 Pm 3.43
Sn1 0.2500 0.2500 0.2500  4 La 3.43, 4 Pm 3.43
Sn2 0.2500 0.7500 0.7500  4 La 3.43, 4 Pm 3.43
Sn3 0.7500 0.2500 0.7500  4 La 3.43, 4 Pm 3.43
Sn4 0.7500 0.7500 0.2500  4 La 3.43, 4 Pm 3.43

Total magnetic moment   0.00 μB/f.u.
Formation energy   -0.268 eV/atom
Total DFT energy (no corrections)   -4.880 eV/atom
Theoretical density   7.28 g/cm3



No. 9
Computed, not measured: a relaxed LaTbPm2Nd4 crystal at the PBE level of DFT.

a = 6.3301 Å, b = 3.6780 Å, c = 12.2012 Å
α = 90.00°, β = 100.27°, γ = 90.00°
Closest atoms and distances in Å follow each position.
Atoms (fractional coordinates):
La1 0.0000 0.0000 0.0000  4 Tb 3.66, 6 Nd 3.67-3.68, 2 La 3.68
Tb1 0.5000 0.5000 0.0000  4 La 3.66, 6 Nd 3.66-3.69, 2 Tb 3.68
Pm1 0.0000 0.5000 0.5000  6 Pm 3.66-3.68, 6 Nd 3.67-3.68
Pm2 0.5000 0.0000 0.5000  6 Nd 3.66-3.68, 6 Pm 3.66-3.68
Nd1 0.2504 0.0000 0.7506  6 Nd 3.66-3.68, 2 Tb 3.66, 1 La 3.67, 3 Pm 3.68
Nd2 0.2510 0.5000 0.2512  6 Nd 3.66-3.68, 3 Pm 3.66-3.67, 2 La 3.68, 1 Tb 3.69
Nd3 0.7490 0.5000 0.7488  6 Nd 3.66-3.68, 3 Pm 3.66-3.67, 2 La 3.68, 1 Tb 3.69
Nd4 0.7496 0.0000 0.2494  6 Nd 3.66-3.68, 2 Tb 3.66, 1 La 3.67, 3 Pm 3.68

Total magnetic moment   0.00 μB/f.u.
Formation energy   0.016 eV/atom
Total DFT energy (no corrections)   -4.750 eV/atom
Theoretical density   6.92 g/cm3



No. 10
Computed, not measured: a relaxed La2TbPm6Nd crystal at the PBE level of DFT.

a = 8.9160 Å, b = 8.9160 Å, c = 10.1222 Å
α = 95.19°, β = 95.19°, γ = 117.87°
Closest atoms and distances in Å follow each position.
Atoms (fractional coordinates):
La1 0.1926 0.2888 0.0407  5 Pm 3.33-3.63, 2 Nd 3.40-3.45, 1 Tb 3.63
La2 0.2888 0.1926 0.5407  5 Pm 3.33-3.63, 2 Nd 3.40-3.45, 1 Tb 3.63
La3 0.7112 0.8074 0.4593  5 Pm 3.33-3.63, 2 Nd 3.40-3.45, 1 Tb 3.63
La4 0.8074 0.7112 0.9593  5 Pm 3.33-3.63, 2 Nd 3.40-3.45, 1 Tb 3.63
Tb1 0.4054 0.5946 0.7500  8 Pm 3.48-3.81, 2 La 3.63
Tb2 0.5946 0.4054 0.2500  8 Pm 3.48-3.81, 2 La 3.63
Pm1 0.0187 0.5785 0.1885  4 Pm 3.35-3.73, 1 La 3.48, 1 Tb 3.49, 1 Nd 3.68
Pm2 0.1198 0.7375 0.5559  7 Pm 3.49-3.85, 1 La 3.63, 1 Nd 3.66, 1 Tb 3.81
Pm3 0.2625 0.8802 0.9441  7 Pm 3.49-3.85, 1 La 3.63, 1 Nd 3.66, 1 Tb 3.81
Pm4 0.2983 0.5056 0.3794  3 La 3.33-3.59, 4 Pm 3.35-3.60, 2 Tb 3.48-3.70
Pm5 0.4215 0.9813 0.3115  4 Pm 3.35-3.73, 1 La 3.48, 1 Tb 3.49, 1 Nd 3.68
Pm6 0.4944 0.7017 0.1206  3 La 3.33-3.59, 4 Pm 3.35-3.60, 2 Tb 3.48-3.70
Pm7 0.5056 0.2983 0.8794  3 La 3.33-3.59, 4 Pm 3.35-3.60, 2 Tb 3.48-3.70
Pm8 0.5785 0.0187 0.6885  4 Pm 3.35-3.73, 1 La 3.48, 1 Tb 3.49, 1 Nd 3.68
Pm9 0.7017 0.4944 0.6206  3 La 3.33-3.59, 4 Pm 3.35-3.60, 2 Tb 3.48-3.70
Pm10 0.7375 0.1198 0.0559  7 Pm 3.49-3.85, 1 La 3.63, 1 Nd 3.66, 1 Tb 3.81
Pm11 0.8802 0.2625 0.4441  7 Pm 3.49-3.85, 1 La 3.63, 1 Nd 3.66, 1 Tb 3.81
Pm12 0.9813 0.4215 0.8115  4 Pm 3.35-3.73, 1 La 3.48, 1 Tb 3.49, 1 Nd 3.68
Nd1 0.0116 0.9884 0.2500  4 La 3.40-3.45, 4 Pm 3.66-3.68
Nd2 0.9884 0.0116 0.7500  4 La 3.40-3.45, 4 Pm 3.66-3.68

Total magnetic moment   0.00 μB/f.u.
Formation energy   0.111 eV/atom
Total DFT energy (no corrections)   -4.664 eV/atom
Theoretical density   6.88 g/cm3